1.
{
  "formula": "CeDy3Tc",
  "functional": "GGA-PBE",
  "state": "relaxed",
  "total_magnetization_mub_per_fu": 0.0,
  "delta_e_f_mev_per_atom": -45,
  "lattice_angstrom": [[5.9122, -1.9328, 0.0000], [5.9122, 1.9328, 0.0000], [-4.9809, 0.0000, 11.9902]],
  "species": ["Ce", "Ce", "Dy", "Dy", "Dy", "Dy", "Dy", "Dy", "Tc", "Tc"],
  "frac_coords": [[0.0000, 0.0000, 0.0000], [0.1095, 0.1095, 0.2829], [0.1111, 0.1111, 0.6155], [0.2376, 0.2376, 0.8933], [0.4319, 0.4319, 0.3745], [0.4632, 0.4632, 0.7556], [0.7709, 0.7709, 0.1407], [0.7858, 0.7858, 0.5152], [0.4697, 0.4697, 0.1258], [0.7904, 0.7904, 0.7493]]
}



2.
{
  "formula": "La3Sm6HoEr2",
  "functional": "GGA-PBE",
  "state": "relaxed",
  "total_magnetization_mub_per_fu": 0.0,
  "delta_e_f_mev_per_atom": 23,
  "lattice_angstrom": [[3.1437, -5.4504, 0.0000], [3.1437, 5.4504, 0.0000], [-2.1054, 0.0000, 11.8517]],
  "species": ["La", "La", "La", "Sm", "Sm", "Sm", "Sm", "Sm", "Sm", "Ho", "Er", "Er"],
  "frac_coords": [[0.0000, 0.0000, 0.0000], [0.3331, 0.6669, 0.0000], [0.6669, 0.3331, 0.0000], [0.0856, 0.4191, 0.2569], [0.2474, 0.2474, 0.7432], [0.4191, 0.0856, 0.2569], [0.5809, 0.9144, 0.7431], [0.7526, 0.7526, 0.2568], [0.9144, 0.5809, 0.7431], [0.5000, 0.5000, 0.5000], [0.1667, 0.8333, 0.5000], [0.8333, 0.1667, 0.5000]]
}



3.
{
  "formula": "BaGaGe2",
  "functional": "GGA-PBE",
  "state": "relaxed",
  "total_magnetization_mub_per_fu": 0.0,
  "delta_e_f_mev_per_atom": -269,
  "e_above_lowest_polymorph_mev_per_atom": 26,
  "lattice_angstrom": [[5.7427, -2.1764, 0.0000], [5.7427, 2.1764, 0.0000], [-1.9658, 0.0000, 4.4052]],
  "species": ["Ba", "Ga", "Ge", "Ge"],
  "frac_coords": [[0.0000, 0.0000, 0.0000], [0.2427, 0.2427, 0.7512], [0.3692, 0.3692, 0.3804], [0.6089, 0.6089, 0.5899]]
}



4.
{
  "formula": "SmMgCdBi",
  "functional": "GGA-PBE",
  "state": "relaxed",
  "total_magnetization_mub_per_fu": 0.0,
  "delta_e_f_mev_per_atom": -263,
  "lattice_angstrom": [[0.0000, 3.7934, 3.7934], [3.7934, 0.0000, 3.7934], [3.7934, 3.7934, 0.0000]],
  "species": ["Sm", "Mg", "Cd", "Bi"],
  "frac_coords": [[0.0000, 0.0000, 0.0000], [0.5000, 0.5000, 0.5000], [0.7500, 0.7500, 0.7500], [0.2500, 0.2500, 0.2500]]
}



5.
{
  "formula": "BaGa2TcGe",
  "functional": "GGA-PBE",
  "state": "relaxed",
  "total_magnetization_mub_per_fu": 0.0,
  "delta_e_f_mev_per_atom": -386,
  "lattice_angstrom": [[4.9261, 0.0000, 0.0000], [0.0000, 4.9261, 0.0000], [0.0000, 0.0000, 4.8514]],
  "species": ["Ba", "Ga", "Ga", "Tc", "Ge"],
  "frac_coords": [[0.0000, 0.0000, 0.0000], [0.0000, 0.5000, 0.5000], [0.5000, 0.0000, 0.5000], [0.5000, 0.5000, 0.5000], [0.5000, 0.5000, 0.0000]]
}



6.
{
  "formula": "BeCuTe2I",
  "functional": "GGA-PBE",
  "state": "relaxed",
  "total_magnetization_mub_per_fu": 0.0,
  "e_above_lowest_polymorph_mev_per_atom": 211,
  "lattice_angstrom": [[5.1951, 0.0000, 0.0000], [0.0000, 5.1951, 0.0000], [0.0000, 0.0000, 5.2583]],
  "species": ["Be", "Cu", "Te", "Te", "I"],
  "frac_coords": [[0.0000, 0.0000, 0.0000], [0.5000, 0.5000, 0.5000], [0.0000, 0.5000, 0.5000], [0.5000, 0.0000, 0.5000], [0.5000, 0.5000, 0.0000]]
}



7.
{
  "formula": "KSr2Re",
  "functional": "GGA-PBE",
  "state": "relaxed",
  "total_magnetization_mub_per_fu": 2.2,
  "delta_e_f_mev_per_atom": 1242,
  "e_above_lowest_polymorph_mev_per_atom": 423,
  "lattice_angstrom": [[0.0000, 4.1003, 4.1003], [4.1003, 0.0000, 4.1003], [4.1003, 4.1003, 0.0000]],
  "species": ["K", "Sr", "Sr", "Re"],
  "frac_coords": [[0.0000, 0.0000, 0.0000], [0.2500, 0.2500, 0.2500], [0.5000, 0.5000, 0.5000], [0.7500, 0.7500, 0.7500]]
}



8.
{
  "formula": "PmPrSmTl",
  "functional": "GGA-PBE",
  "state": "relaxed",
  "total_magnetization_mub_per_fu": 0.0,
  "delta_e_f_mev_per_atom": -201,
  "e_above_lowest_polymorph_mev_per_atom": 0,
  "lattice_angstrom": [[4.9405, 0.0000, 0.0000], [0.0000, 4.9888, 0.0000], [0.0000, 0.0000, 5.0094]],
  "species": ["Pm", "Pr", "Sm", "Tl"],
  "frac_coords": [[0.0000, 0.0000, 0.0000], [0.5000, 0.5000, 0.0000], [0.0000, 0.5000, 0.5000], [0.5000, 0.0000, 0.5000]]
}



9.
{
  "formula": "Rb3PmPa3Te8",
  "functional": "GGA-PBE",
  "state": "relaxed",
  "total_magnetization_mub_per_fu": 5.0,
  "total_energy_ev_per_atom": -5.113,
  "lattice_angstrom": [[4.4356, 2.5609, 8.8532], [-4.4356, 2.5609, 8.8532], [0.0000, -5.1218, 8.8532]],
  "species": ["Rb", "Rb", "Rb", "Pm", "Pa", "Pa", "Pa", "Te", "Te", "Te", "Te", "Te", "Te", "Te", "Te"],
  "frac_coords": [[0.0000, 0.5000, 0.5000], [0.5000, 0.0000, 0.5000], [0.5000, 0.5000, 0.0000], [0.5000, 0.5000, 0.5000], [0.0000, 0.0000, 0.5000], [0.0000, 0.5000, 0.0000], [0.5000, 0.0000, 0.0000], [0.2268, 0.7386, 0.7386], [0.2349, 0.2349, 0.2349], [0.2614, 0.2614, 0.7732], [0.2614, 0.7732, 0.2614], [0.7386, 0.2268, 0.7386], [0.7386, 0.7386, 0.2268], [0.7651, 0.7651, 0.7651], [0.7732, 0.2614, 0.2614]]
}



10.
{
  "formula": "NaPm2Hg5",
  "functional": "GGA-PBE",
  "state": "relaxed",
  "total_magnetization_mub_per_fu": 0.3,
  "delta_e_f_mev_per_atom": -320,
  "lattice_angstrom": [[-2.6530, 2.6530, 7.3864], [2.6530, -2.6530, 7.3864], [2.6530, 2.6530, -7.3864]],
  "species": ["Na", "Pm", "Pm", "Hg", "Hg", "Hg", "Hg", "Hg"],
  "frac_coords": [[0.0000, 0.0000, 0.0000], [0.2632, 0.2632, 0.0000], [0.7368, 0.7368, 0.0000], [0.1221, 0.6221, 0.5000], [0.3779, 0.8779, 0.5000], [0.5000, 0.5000, 0.0000], [0.6221, 0.1221, 0.5000], [0.8779, 0.3779, 0.5000]]
}



11.
{
  "formula": "Cs2AgBr",
  "functional": "GGA-PBE",
  "state": "relaxed",
  "total_magnetization_mub_per_fu": 0.0,
  "e_above_lowest_polymorph_mev_per_atom": 47,
  "lattice_angstrom": [[2.5822, 1.4909, 9.2470], [-2.5822, 1.4909, 9.2470], [0.0000, -2.9817, 9.2470]],
  "species": ["Cs", "Cs", "Ag", "Br"],
  "frac_coords": [[0.0000, 0.0000, 0.0000], [0.1604, 0.1604, 0.1604], [0.5804, 0.5804, 0.5804], [0.4133, 0.4133, 0.4133]]
}



12.
{
  "formula": "Tb4ZrSe5",
  "functional": "GGA-PBE",
  "state": "relaxed",
  "total_magnetization_mub_per_fu": 0.0,
  "total_energy_ev_per_atom": -6.067,
  "lattice_angstrom": [[2.0235, 1.1682, 16.5896], [-2.0235, 1.1682, 16.5896], [0.0000, -2.3365, 16.5896]],
  "species": ["Tb", "Tb", "Tb", "Tb", "Zr", "Se", "Se", "Se", "Se", "Se"],
  "frac_coords": [[0.1030, 0.1030, 0.1030], [0.2994, 0.2994, 0.2994], [0.7006, 0.7006, 0.7006], [0.8970, 0.8970, 0.8970], [0.5000, 0.5000, 0.5000], [0.0000, 0.0000, 0.0000], [0.1971, 0.1971, 0.1971], [0.4019, 0.4019, 0.4019], [0.5981, 0.5981, 0.5981], [0.8029, 0.8029, 0.8029]]
}



13.
{
  "formula": "Ba2ZnAu",
  "functional": "GGA-PBE",
  "state": "relaxed",
  "total_magnetization_mub_per_fu": 0.0,
  "delta_e_f_mev_per_atom": -354,
  "lattice_angstrom": [[4.1490, -2.3957, 0.0000], [4.1490, 2.3957, 0.0000], [-2.7559, 0.0000, 8.0462]],
  "species": ["Ba", "Ba", "Zn", "Au"],
  "frac_coords": [[0.2441, 0.2441, 0.2330], [0.7559, 0.7559, 0.7670], [0.0000, 0.0000, 0.5000], [0.5000, 0.5000, 0.0000]]
}